VASP calculation (PBE-GGA) on a relaxed Sc3TlTe2 crystal.

Lattice parameters (Å, degrees): 5.8976 17.6429 8.3281 90.00 134.85 90.00
With the nearest neighbours (Å) after each atom.
Atoms (fractional coordinates):
Sc 0.2488 0.0844 0.2482  3 Te 2.93-2.95, 3 Tl 2.95
Sc 0.2488 0.4156 0.7482  3 Te 2.93-2.95, 3 Tl 2.95
Sc 0.2495 0.0837 0.7488  4 Te 2.93-2.98, 2 Tl 2.95
Sc 0.2495 0.4163 0.2488  4 Te 2.93-2.98, 2 Tl 2.95
Sc 0.2511 0.7473 0.7520  1 Tl 2.90, 5 Te 2.95-2.96
Sc 0.2511 0.7527 0.2520  1 Tl 2.90, 5 Te 2.95-2.96
Sc 0.7489 0.2473 0.7480  1 Tl 2.90, 5 Te 2.95-2.96
Sc 0.7489 0.2527 0.2480  1 Tl 2.90, 5 Te 2.95-2.96
Sc 0.7505 0.5837 0.7512  4 Te 2.93-2.98, 2 Tl 2.95
Sc 0.7505 0.9163 0.2512  4 Te 2.93-2.98, 2 Tl 2.95
Sc 0.7512 0.5844 0.2518  3 Te 2.93-2.95, 3 Tl 2.95
Sc 0.7512 0.9156 0.7518  3 Te 2.93-2.95, 3 Tl 2.95
Tl 0.2512 0.5828 0.7518  6 Sc 2.90-2.95
Tl 0.2512 0.9172 0.2518  6 Sc 2.90-2.95
Tl 0.7488 0.0828 0.7482  6 Sc 2.90-2.95
Tl 0.7488 0.4172 0.2482  6 Sc 2.90-2.95
Te 0.2489 0.2502 0.2480  6 Sc 2.93-2.95
Te 0.2489 0.2498 0.7480  6 Sc 2.93-2.95
Te 0.2506 0.5849 0.2513  6 Sc 2.95-2.98
Te 0.2506 0.9151 0.7513  6 Sc 2.95-2.98
Te 0.7494 0.0849 0.2487  6 Sc 2.95-2.98
Te 0.7494 0.4151 0.7487  6 Sc 2.95-2.98
Te 0.7511 0.7502 0.2520  6 Sc 2.93-2.95
Te 0.7511 0.7498 0.7520  6 Sc 2.93-2.95

=====

VASP calculation (PBE-GGA) on a relaxed Sc4TlTe3 crystal.

Lattice parameters (Å, degrees): 7.2382 8.3604 7.1989 90.00 109.55 90.00
With the nearest neighbours (Å) after each atom.
Atoms (fractional coordinates):
Sc 0.2421 0.1324 0.4923  1 Tl 2.87, 5 Te 2.95-3.02
Sc 0.2421 0.8676 0.9923  1 Tl 2.87, 5 Te 2.95-3.02
Sc 0.2437 0.3778 0.0009  2 Tl 2.90-2.91, 4 Te 2.95-3.00
Sc 0.2437 0.6222 0.5009  2 Tl 2.90-2.91, 4 Te 2.95-3.00
Sc 0.7563 0.3778 0.4991  2 Tl 2.90-2.91, 4 Te 2.95-3.00
Sc 0.7563 0.6222 0.9991  2 Tl 2.90-2.91, 4 Te 2.95-3.00
Sc 0.7579 0.1324 0.0077  1 Tl 2.87, 5 Te 2.95-3.02
Sc 0.7579 0.8676 0.5077  1 Tl 2.87, 5 Te 2.95-3.02
Tl 0.0000 0.3774 0.2500  6 Sc 2.87-2.91
Tl 0.0000 0.6226 0.7500  6 Sc 2.87-2.91
Te 0.0000 0.1245 0.7500  6 Sc 2.95
Te 0.0000 0.8755 0.2500  6 Sc 2.95
Te 0.5000 0.1216 0.2500  6 Sc 2.95-3.02
Te 0.5000 0.3739 0.7500  6 Sc 2.95-2.99
Te 0.5000 0.6261 0.2500  6 Sc 2.95-2.99
Te 0.5000 0.8784 0.7500  6 Sc 2.95-3.02

=====

In order of appearance, size of the total moment = 0.00, 0.00 μB per atom.
In order of appearance, formation energy from raw total energies = -809, -900 meV per atom.